[1]
First-principles (PBE) data for a geometry-optimized NdPPbO structure, as listed in OQMD.

a b c (Å): 4.356 4.356 9.436
angles (deg): 90.00 90.00 90.00
Fractional positions:
Nd 0.250 0.250 0.106
Nd 0.750 0.750 0.894
P 0.250 0.250 0.721
P 0.750 0.750 0.279
Pb 0.250 0.750 0.500
Pb 0.750 0.250 0.500
O 0.250 0.750 0.000
O 0.750 0.250 0.000

Properties
SG ... P4/nmm
Energy above the most stable polymorph in this dataset ... 0.0000 eV per atom

---

[2]
First-principles (PBE) data for a geometry-optimized Cd2Cl structure, as listed in OQMD.

a b c (Å): 7.703 7.703 3.088
angles (deg): 90.00 90.00 90.00
Fractional positions:
Cd 0.235 0.235 0.000
Cd 0.265 0.735 0.500
Cd 0.735 0.265 0.500
Cd 0.765 0.765 0.000
Cl 0.000 0.000 0.500
Cl 0.500 0.500 0.000

Properties
SG ... P4_2/mnm
Raw total energy ... -0.044 Ha/atom

---

Please write out number 1 again, unchanged.
First-principles (PBE) data for a geometry-optimized NdPPbO structure, as listed in OQMD.

a b c (Å): 4.356 4.356 9.436
angles (deg): 90.00 90.00 90.00
Fractional positions:
Nd 0.250 0.250 0.106
Nd 0.750 0.750 0.894
P 0.250 0.250 0.721
P 0.750 0.750 0.279
Pb 0.250 0.750 0.500
Pb 0.750 0.250 0.500
O 0.250 0.750 0.000
O 0.750 0.250 0.000

Properties
SG ... P4/nmm
Energy above the most stable polymorph in this dataset ... 0.0000 eV per atom